No. 1
Below is crystalline BaTlCd4 at its relaxed geometry, with properties calculated at the PBE level.

The structure belongs to space group Cmcm (No. 63); the cell edges are 4.951, 18.335 and 7.659 Å and the angles 90.00°, 90.00° and 90.00°. The inequivalent atoms are Ba at (0.000, 0.125, 0.250), Tl at (0.000, 0.234, 0.750), Cd at (0.000, 0.065, 0.750), Cd at (0.000, 0.339, 0.061) and Cd at (0.000, 0.500, 0.000).

***

No. 2
Below is crystalline Ba3Tl2Cd9 at its relaxed geometry, with properties calculated at the PBE level.

The structure belongs to space group Immm (No. 71); the cell edges are 5.318, 10.150 and 15.434 Å and the angles 90.00°, 90.00° and 90.00°. The inequivalent atoms are Ba at (0.000, 0.000, 0.000), Ba at (0.000, 0.000, 0.297), Tl at (0.000, 0.184, 0.500), Cd at (0.000, 0.285, 0.143), Cd at (0.000, 0.357, 0.336) and Cd at (0.000, 0.500, 0.000).

***

No. 3
Below is crystalline BaTl7Cd2 at its relaxed geometry, with properties calculated at the PBE level.

The structure belongs to space group Cmmm (No. 65); the cell edges are 9.303, 16.328 and 4.928 Å and the angles 90.00°, 90.00° and 90.00°. The inequivalent atoms are Ba at (0.000, 0.000, 0.000), Tl at (0.000, 0.222, 0.000), Tl at (0.000, 0.500, 0.500), Tl at (0.192, 0.138, 0.500) and Cd at (0.000, 0.318, 0.500).

***

No. 4
Below is crystalline BaTlCd at its relaxed geometry, with properties calculated at the PBE level.

The structure belongs to space group I4mm (No. 107); the cell edges are 4.007, 4.007 and 12.707 Å and the angles 90.00°, 90.00° and 90.00°. The inequivalent atoms are Ba at (0.000, 0.000, 0.000), Tl at (0.000, 0.000, 0.690) and Cd at (0.000, 0.000, 0.319).

***

No. 5
Below is crystalline BaTl2Cd10 at its relaxed geometry, with properties calculated at the PBE level.

The structure belongs to space group Fmmm (No. 69); the cell edges are 6.396, 14.546 and 14.666 Å and the angles 90.00°, 90.00° and 90.00°. The inequivalent atoms are Ba at (0.000, 0.000, 0.000), Tl at (0.250, 0.250, 0.000), Cd at (0.000, 0.105, 0.389), Cd at (0.000, 0.174, 0.185) and Cd at (0.250, 0.000, 0.250).

***

No. 6
Below is crystalline Ba2Tl3Cd at its relaxed geometry, with properties calculated at the PBE level.

The structure belongs to space group Cm (No. 8); the cell edges are 12.481, 5.339 and 8.604 Å and the angles 90.00°, 133.36° and 90.00°. The inequivalent atoms are Ba at (0.000, 0.000, 0.000), Ba at (0.083, 0.000, 0.583), Tl at (0.204, 0.500, 0.020), Tl at (0.373, 0.000, 0.562), Tl at (0.387, 0.000, 0.186) and Cd at (0.211, 0.500, 0.401).

***

No. 7
Below is crystalline Ba3Tl2Cd3 at its relaxed geometry, with properties calculated at the PBE level.

The structure belongs to space group Cmcm (No. 63); the cell edges are 5.261, 12.475 and 17.541 Å and the angles 90.00°, 90.00° and 90.00°. The inequivalent atoms are Ba at (0.000, 0.101, 0.102), Ba at (0.000, 0.386, 0.250), Tl at (0.000, 0.200, 0.598), Cd at (0.000, 0.325, 0.750) and Cd at (0.000, 0.392, 0.038).

***

No. 8
Below is crystalline Ba4Tl3Cd at its relaxed geometry, with properties calculated at the PBE level.

The structure belongs to space group I4/mmm (No. 139); the cell edges are 6.057, 6.057 and 17.188 Å and the angles 90.00°, 90.00° and 90.00°. The inequivalent atoms are Ba at (0.000, 0.500, 0.124), Tl at (0.000, 0.000, 0.000), Tl at (0.000, 0.000, 0.248) and Cd at (0.000, 0.000, 0.500).

***

No. 9
Below is crystalline Ba2Tl5Cd at its relaxed geometry, with properties calculated at the PBE level.

The structure belongs to space group Cmcm (No. 63); the cell edges are 5.169, 19.668 and 10.888 Å and the angles 90.00°, 90.00° and 90.00°. The inequivalent atoms are Ba at (0.000, 0.000, 0.000), Ba at (0.000, 0.204, 0.250), Tl at (0.000, 0.192, 0.602), Tl at (0.000, 0.358, 0.533), Tl at (0.000, 0.403, 0.250) and Cd at (0.000, 0.449, 0.750).

***

No. 10
Below is crystalline BaTlCd2 at its relaxed geometry, with properties calculated at the PBE level.

The structure belongs to space group I-42d (No. 122); the cell edges are 5.310, 5.310 and 21.262 Å and the angles 90.00°, 90.00° and 90.00°. The inequivalent atoms are Ba at (0.000, 0.000, 0.000), Tl at (0.000, 0.000, 0.500) and Cd at (0.114, 0.250, 0.625).

***

No. 11
Below is crystalline Ba2Tl3Cd9 at its relaxed geometry, with properties calculated at the PBE level.

The structure belongs to space group Cmcm (No. 63); the cell edges are 15.847, 9.328 and 10.611 Å and the angles 90.00°, 90.00° and 90.00°. The inequivalent atoms are Ba at (0.158, 0.157, 0.250), Tl at (0.000, 0.000, 0.000), Tl at (0.195, 0.500, 0.000), Cd at (0.000, 0.160, 0.750), Cd at (0.000, 0.342, 0.048), Cd at (0.094, 0.461, 0.750) and Cd at (0.158, 0.192, 0.598).

***

No. 12
Below is crystalline Ba2Tl4Cd3 at its relaxed geometry, with properties calculated at the PBE level.

The structure belongs to space group Cmce (No. 64); the cell edges are 6.581, 18.209 and 9.526 Å and the angles 90.00°, 90.00° and 90.00°. The inequivalent atoms are Ba at (0.000, 0.110, 0.089), Tl at (0.000, 0.183, 0.484), Tl at (0.250, 0.057, 0.750), Cd at (0.000, 0.000, 0.500) and Cd at (0.250, 0.224, 0.750).

***

| no. | E (eV/atom) | E_form (eV/atom) |
| --- | --- | --- |
| 1 | -1.5013 | -0.176 |
| 2 | -1.6113 | -0.273 |
| 3 | -1.9464 | 0.085 |
| 4 | -1.9822 | -0.248 |
| 5 | -1.2964 | -0.081 |
| 6 | -2.3624 | -0.386 |
| 7 | -1.9919 | -0.336 |
| 8 | -2.3523 | -0.389 |
| 9 | -2.3462 | -0.272 |
| 10 | -1.6212 | -0.091 |
| 11 | -1.5463 | -0.176 |
| 12 | -2.0321 | -0.248 |